No. 1
A relaxed CdBiC2O6 crystal. Source: Alexandria, functional GGA-PBE.

Summary:
Total DFT energy (no corrections) = -6.4503 eV/atom
E_form (uncorrected) = -1.151 eV/atom
Mass density = 5.4 g/cm³

```
data_CdBiC2O6
_chemical_formula_sum 'Cd1 Bi1 C2 O6'
_cell_length_a 4.974
_cell_length_b 4.974
_cell_length_c 6.927
_cell_angle_alpha 68.96
_cell_angle_beta 68.96
_cell_angle_gamma 60.00
_space_group_name_H-M_alt 'P 1'
_space_group_IT_number 1
_space_group_name_Hall 'P 1'
loop_
_atom_site_label
_atom_site_fract_x
_atom_site_fract_y
_atom_site_fract_z
Cd1 0.500 0.500 0.500
Bi1 0.000 0.000 0.000
C1 0.762 0.762 0.714
C2 0.238 0.238 0.286
O1 0.017 0.494 0.720
O2 0.769 0.017 0.720
O3 0.506 0.231 0.280
O4 0.983 0.506 0.280
O5 0.231 0.983 0.280
O6 0.494 0.769 0.720
```

---

No. 2
A relaxed CdBi2OsC crystal. Source: Alexandria, functional GGA-PBE.

Summary:
Formation energy from the elements = 2.193 eV per atom
Total DFT energy (no corrections) = -3.6335 eV/atom
Mass density = 9.8 g/cm³

```
data_CdBi2OsC
_chemical_formula_sum 'Cd1 Bi2 Os1 C1'
_cell_length_a 5.647
_cell_length_b 3.898
_cell_length_c 5.647
_cell_angle_alpha 90.00
_cell_angle_beta 90.00
_cell_angle_gamma 90.00
_space_group_name_H-M_alt 'P 1'
_space_group_IT_number 1
_space_group_name_Hall 'P 1'
loop_
_atom_site_label
_atom_site_fract_x
_atom_site_fract_y
_atom_site_fract_z
C1 0.000 0.500 0.000
Os1 0.500 0.500 0.500
Bi1 0.000 0.000 0.500
Bi2 0.500 0.000 0.000
Cd1 0.000 0.000 0.000
```

---

No. 3
A relaxed CdBiC2S crystal. Source: Alexandria, functional GGA-PBE.

Summary:
Total DFT energy (no corrections) = -3.2949 eV/atom
E_form (uncorrected) = 2.179 eV/atom
Mass density = 6.9 g/cm³

```
data_CdBiC2S
_chemical_formula_sum 'Cd1 Bi1 C2 S1'
_cell_length_a 4.053
_cell_length_b 5.505
_cell_length_c 4.053
_cell_angle_alpha 90.00
_cell_angle_beta 90.00
_cell_angle_gamma 90.00
_space_group_name_H-M_alt 'P 1'
_space_group_IT_number 1
_space_group_name_Hall 'P 1'
loop_
_atom_site_label
_atom_site_fract_x
_atom_site_fract_y
_atom_site_fract_z
C1 0.000 0.000 0.500
C2 0.500 0.000 0.000
S1 0.000 0.000 0.000
Bi1 0.000 0.500 0.000
Cd1 0.500 0.500 0.500
```

---

No. 4
A relaxed ScCdBiC2 crystal. Source: Alexandria, functional GGA-PBE.

Summary:
Formation energy from the elements = 1.617 eV per atom
Total DFT energy (no corrections) = -4.2980 eV/atom
Mass density = 6.2 g/cm³

```
data_ScCdBiC2
_chemical_formula_sum 'Sc1 Cd1 Bi1 C2'
_cell_length_a 4.359
_cell_length_b 5.496
_cell_length_c 4.359
_cell_angle_alpha 90.00
_cell_angle_beta 90.00
_cell_angle_gamma 90.00
_space_group_name_H-M_alt 'P 1'
_space_group_IT_number 1
_space_group_name_Hall 'P 1'
loop_
_atom_site_label
_atom_site_fract_x
_atom_site_fract_y
_atom_site_fract_z
Sc1 0.000 0.000 0.000
C1 0.000 0.000 0.500
C2 0.500 0.000 0.000
Bi1 0.500 0.500 0.500
Cd1 0.000 0.500 0.000
```

---

No. 5
A relaxed Cd2SiBiC crystal. Source: Alexandria, functional GGA-PBE.

Summary:
Total DFT energy (no corrections) = -2.4400 eV/atom
E_form (uncorrected) = 1.632 eV/atom
Mass density = 5.7 g/cm³

```
data_Cd2SiBiC
_chemical_formula_sum 'Cd2 Si1 Bi1 C1'
_cell_length_a 4.948
_cell_length_b 5.634
_cell_length_c 4.948
_cell_angle_alpha 90.00
_cell_angle_beta 90.00
_cell_angle_gamma 90.00
_space_group_name_H-M_alt 'P 1'
_space_group_IT_number 1
_space_group_name_Hall 'P 1'
loop_
_atom_site_label
_atom_site_fract_x
_atom_site_fract_y
_atom_site_fract_z
C1 0.500 0.500 0.500
Si1 0.000 0.000 0.000
Bi1 0.000 0.500 0.000
Cd1 0.000 0.000 0.500
Cd2 0.500 0.000 0.000
```

---

No. 6
A relaxed SrCdBiC2 crystal. Source: Alexandria, functional GGA-PBE.

Summary:
Formation energy from the elements = 1.846 eV per atom
Total DFT energy (no corrections) = -3.1387 eV/atom
Mass density = 6.0 g/cm³

```
data_SrCdBiC2
_chemical_formula_sum 'Sr1 Cd1 Bi1 C2'
_cell_length_a 4.615
_cell_length_b 5.665
_cell_length_c 4.615
_cell_angle_alpha 90.00
_cell_angle_beta 90.00
_cell_angle_gamma 90.00
_space_group_name_H-M_alt 'P 1'
_space_group_IT_number 1
_space_group_name_Hall 'P 1'
loop_
_atom_site_label
_atom_site_fract_x
_atom_site_fract_y
_atom_site_fract_z
Sr1 0.500 0.500 0.500
C1 0.000 0.000 0.500
C2 0.500 0.000 0.000
Bi1 0.000 0.500 0.000
Cd1 0.000 0.000 0.000
```